SrScV2O8 | PBE with a Hubbard U | relaxed Values from VASP.

The structure in Quantum ESPRESSO input format:
```
&SYSTEM
  ibrav = 0, nat = 12, ntyp = 4
/
ATOMIC_SPECIES
Sr 87.62 Sr.upf
Sc 44.96 Sc.upf
V 50.94 V.upf
O 16.00 O.upf
ATOMIC_POSITIONS crystal
Sr 0.000 0.000 0.000
Sc 0.750 0.250 0.500
V 0.250 0.750 0.500
V 0.500 0.500 0.000
O 0.063 0.389 0.326
O 0.063 0.737 0.674
O 0.146 0.343 0.803
O 0.263 0.937 0.326
O 0.540 0.343 0.197
O 0.611 0.937 0.674
O 0.657 0.460 0.803
O 0.657 0.854 0.197
CELL_PARAMETERS angstrom
-3.646 3.646 3.171
3.646 -3.646 3.171
3.646 3.646 -3.171
```

Output
- N(E_F) (states/eV/f.u.) = 7.70
- SG = I-4m2, No. 119
- VASP energy (eV per cell) = -89.7